# 1
A plane-wave DFT calculation with PBE was carried out for a relaxed Tb2Ga8Ir crystal.

Cell: 4.3271 4.3271 11.1860 Å, 90.00 90.00 90.00°
With the nearest neighbours (Å) after each atom.
Space group P4/mmm (No. 123)
Symmetry-distinct sites (fractional):
Tb1 0.0000 0.0000 0.1929 (multiplicity 2)  12 Ga 3.00-3.06
Ga1 0.0000 0.5000 0.0000 (multiplicity 2)  4 Tb 3.06, 8 Ga 3.06
Ga2 0.0000 0.5000 0.3786 (multiplicity 4)  2 Ir 2.55, 1 Ga 2.71
Ga3 0.5000 0.5000 0.1930 (multiplicity 2)  8 Ga 3.00-3.06, 4 Tb 3.06
Ir1 0.0000 0.0000 0.5000 (multiplicity 1)  8 Ga 2.55

Summary:
DOS(E_F)   4.65 states/eV per cell
Electronic total energy   -48.368 eV/cell
M_tot   0.00 μB/f.u.

---

# 2
A plane-wave DFT calculation with PBE was carried out for a relaxed TbGa4Ir crystal.

Cell: 11.8735 5.8404 7.2394 Å, 90.00 97.56 90.00°
With the nearest neighbours (Å) after each atom.
Space group C2/c (No. 15)
Symmetry-distinct sites (fractional):
Tb1 0.0000 0.1060 0.2500 (multiplicity 4)  8 Ga 3.01-3.33
Ga1 0.0515 0.3660 0.9112 (multiplicity 8)  2 Ga 2.45-2.49, 1 Ir 2.46
Ga2 0.2240 0.3866 0.6680 (multiplicity 8)  2 Ir 2.49-2.51
Ir1 0.2500 0.2500 0.0000 (multiplicity 4)  6 Ga 2.46-2.51

Summary:
DOS(E_F)   12.48 states/eV per cell
Electronic total energy   -109.665 eV/cell
M_tot   0.00 μB/f.u.

---

Q: Which formula does entry 2 have?
A: TbGa4Ir

---

Q: Among the records above, which one has the lowest DOS(E_F)?
A: Tb2Ga8Ir

---

Q: Which formula does entry 2 have?
A: TbGa4Ir